Below is TiGa3Au after structural relaxation, with properties calculated at the GGA-PBEsol level. Values from VASP.

Total moment = 1.68 μB per formula unit
Electronic total energy = -19.2 eV for the cell shown
DFT formation energy = 0.608 eV/atom
Density = 6.77 Mg/m³
Calculated volume = 111.41 Å³ per cell

Geometry as Quantum ESPRESSO input:
```
&SYSTEM
  ibrav = 0, nat = 5, ntyp = 3
/
ATOMIC_SPECIES
Ti 47.87 Ti.upf
Ga 69.72 Ga.upf
Au 196.97 Au.upf
ATOMIC_POSITIONS angstrom
Ti 0.0000 0.0000 0.0000
Ga 0.0000 2.4059 2.4059
Ga 2.4059 0.0000 2.4059
Ga 2.4059 2.4059 0.0000
Au 2.4059 2.4059 2.4059
CELL_PARAMETERS angstrom
4.8118 0.0000 0.0000
0.0000 4.8118 0.0000
0.0000 0.0000 4.8118
```